A:
Compound: CaAsCl
Source: Alexandria via LeMat-Bulk
Functional: PBE-GGA
Structure: optimized geometry

Cell lengths 7.967, 7.967, 3.310 Å; angles 78.01, 78.01, 23.98 degrees
Fractional positions:
As: 0.963 0.963 0.037
Ca: 0.318 0.318 0.682
Cl: 0.719 0.719 0.281

Values from the calculation:
calculated density: 3.0 g cm⁻³
space group: I4mm (107)
total magnetic moment: 0.00 Bohr magnetons per cell



B:
Compound: CaAsCl
Source: Alexandria via LeMat-Bulk
Functional: PBE-GGA
Structure: optimized geometry

Cell lengths 4.884, 4.884, 4.884 Å; angles 60.00, 60.00, 60.00 degrees
Fractional positions:
As: 0.000 0.000 0.000
Ca: 0.500 0.500 0.500
Cl: 0.750 0.750 0.750

Values from the calculation:
calculated density: 3.0 g cm⁻³
space group: F-43m (216)
total magnetic moment: 1.60 Bohr magnetons per cell



Name the most stable of them. A.



A:
Compound: CaAsCl2
Source: Alexandria via LeMat-Bulk
Functional: PBE-GGA
Structure: optimized geometry

Cell lengths 5.750, 5.750, 5.750 Å; angles 145.56, 116.13, 74.63 degrees
Fractional positions:
As: 0.750 0.250 0.500
Ca: 0.250 0.750 0.500
Cl: 0.014 0.014 0.000
Cl: 0.486 0.486 0.000

Values from the calculation:
calculated density: 3.3 g cm⁻³
space group: Immm (71)
total magnetic moment: 0.00 Bohr magnetons per cell



B:
Compound: CaAsCl2
Source: Alexandria via LeMat-Bulk
Functional: PBE-GGA
Structure: optimized geometry

Cell lengths 11.880, 11.880, 11.880 Å; angles 18.25, 18.25, 18.25 degrees
Fractional positions:
As: 0.000 0.000 0.000
Ca: 0.500 0.500 0.500
Cl: 0.878 0.878 0.878
Cl: 0.122 0.122 0.122

Values from the calculation:
calculated density: 2.2 g cm⁻³
space group: R-3m (166)
total magnetic moment: 1.14 Bohr magnetons per cell



Name the most stable of them. B.